VASP calculation (PBE+U) on an optimized crystal structure of Ac2HoWO8.

Calculated values
Calculated volume ... 16.98 Å³/atom
VASP energy ... -7.6970 eV/atom
Size of the total moment ... 0.4 Bohr magnetons per cell
Crystal system ... monoclinic

Structure (POSCAR):
```
Ac2HoWO8
1.0
5.3686 0.0000 0.0000
0.0000 7.0652 0.0000
-0.1256 0.0000 5.3708
Ac Ho W O
2 1 1 8
direct
0.0000 0.2453 0.0000
0.0000 0.7547 0.0000
0.5000 0.5000 0.5000
0.5000 0.0000 0.5000
0.2065 0.5000 0.2071
0.2414 0.0000 0.2429
0.3308 0.2111 0.6701
0.3308 0.7889 0.6701
0.6692 0.2111 0.3299
0.6692 0.7889 0.3299
0.7586 0.0000 0.7571
0.7935 0.5000 0.7929
```